No. 1
# HfFeO2F (PBE with a Hubbard U, relaxed)
data_HfFeO2F
_symmetry_space_group_name_H-M 'P 1'
_symmetry_Int_Tables_number 1
_symmetry_space_group_name_Hall 'P 1'
_cell_length_a 3.941
_cell_length_b 3.941
_cell_length_c 3.836
_cell_angle_alpha 90.00
_cell_angle_beta 90.00
_cell_angle_gamma 90.00
loop_
_atom_site_label
_atom_site_fract_x
_atom_site_fract_y
_atom_site_fract_z
Hf1 0.500 0.500 0.500
Fe1 0.000 0.000 0.000
O1 0.000 0.500 0.000
O2 0.500 0.000 0.000
F1 0.000 0.000 0.500
# Space group: P4/mmm (123)
# Raw total energy, eV per atom: -6.732

No. 2
# HfFeOF2 (PBE with a Hubbard U, relaxed)
data_HfFeOF2
_symmetry_space_group_name_H-M 'P 1'
_symmetry_Int_Tables_number 1
_symmetry_space_group_name_Hall 'P 1'
_cell_length_a 4.251
_cell_length_b 4.251
_cell_length_c 4.044
_cell_angle_alpha 90.00
_cell_angle_beta 90.00
_cell_angle_gamma 90.00
loop_
_atom_site_label
_atom_site_fract_x
_atom_site_fract_y
_atom_site_fract_z
Hf1 0.000 0.000 0.000
Fe1 0.500 0.500 0.500
O1 0.000 0.000 0.500
F1 0.000 0.500 0.000
F2 0.500 0.000 0.000
# Space group: P4/mmm (123)
# Raw total energy, eV per atom: -6.885

No. 3
# HfFeOF2 (PBE with a Hubbard U, relaxed)
data_HfFeOF2
_symmetry_space_group_name_H-M 'P 1'
_symmetry_Int_Tables_number 1
_symmetry_space_group_name_Hall 'P 1'
_cell_length_a 4.046
_cell_length_b 4.046
_cell_length_c 4.022
_cell_angle_alpha 90.00
_cell_angle_beta 90.00
_cell_angle_gamma 90.00
loop_
_atom_site_label
_atom_site_fract_x
_atom_site_fract_y
_atom_site_fract_z
Hf1 0.500 0.500 0.500
Fe1 0.000 0.000 0.000
O1 0.000 0.000 0.500
F1 0.000 0.500 0.000
F2 0.500 0.000 0.000
# Space group: P4/mmm (123)
# Raw total energy, eV per atom: -6.167

No. 4
# HfFeO2F (PBE with a Hubbard U, relaxed)
data_HfFeO2F
_symmetry_space_group_name_H-M 'P 1'
_symmetry_Int_Tables_number 1
_symmetry_space_group_name_Hall 'P 1'
_cell_length_a 4.097
_cell_length_b 4.097
_cell_length_c 4.114
_cell_angle_alpha 90.00
_cell_angle_beta 90.00
_cell_angle_gamma 90.00
loop_
_atom_site_label
_atom_site_fract_x
_atom_site_fract_y
_atom_site_fract_z
Hf1 0.000 0.000 0.000
Fe1 0.500 0.500 0.500
O1 0.000 0.500 0.000
O2 0.500 0.000 0.000
F1 0.000 0.000 0.500
# Space group: P4/mmm (123)
# Raw total energy, eV per atom: -7.667

No. 5
# HfFe2PF (PBE with a Hubbard U, relaxed)
data_HfFe2PF
_symmetry_space_group_name_H-M 'P 1'
_symmetry_Int_Tables_number 1
_symmetry_space_group_name_Hall 'P 1'
_cell_length_a 5.164
_cell_length_b 3.968
_cell_length_c 5.164
_cell_angle_alpha 90.00
_cell_angle_beta 90.00
_cell_angle_gamma 90.00
loop_
_atom_site_label
_atom_site_fract_x
_atom_site_fract_y
_atom_site_fract_z
P1 0.500 0.500 0.500
Hf1 0.000 0.000 0.000
Fe1 0.000 0.000 0.500
Fe2 0.500 0.000 0.000
F1 0.000 0.500 0.000
# Space group: P4/mmm (123)
# Raw total energy, eV per atom: -5.330

No. 6
# HfFeSbF2 (PBE with a Hubbard U, relaxed)
data_HfFeSbF2
_symmetry_space_group_name_H-M 'P 1'
_symmetry_Int_Tables_number 1
_symmetry_space_group_name_Hall 'P 1'
_cell_length_a 3.966
_cell_length_b 7.037
_cell_length_c 3.966
_cell_angle_alpha 90.00
_cell_angle_beta 90.00
_cell_angle_gamma 90.00
loop_
_atom_site_label
_atom_site_fract_x
_atom_site_fract_y
_atom_site_fract_z
Sb1 0.500 0.500 0.500
Hf1 0.000 0.500 0.000
Fe1 0.000 0.000 0.000
F1 0.000 0.000 0.500
F2 0.500 0.000 0.000
# Space group: P4/mmm (123)
# Raw total energy, eV per atom: -5.797

No. 7
# Hf2FeSeF (PBE with a Hubbard U, relaxed)
data_Hf2FeSeF
_symmetry_space_group_name_H-M 'P 1'
_symmetry_Int_Tables_number 1
_symmetry_space_group_name_Hall 'P 1'
_cell_length_a 5.056
_cell_length_b 4.215
_cell_length_c 5.056
_cell_angle_alpha 90.00
_cell_angle_beta 90.00
_cell_angle_gamma 90.00
loop_
_atom_site_label
_atom_site_fract_x
_atom_site_fract_y
_atom_site_fract_z
Hf1 0.000 0.000 0.500
Hf2 0.500 0.000 0.000
Fe1 0.500 0.500 0.500
Se1 0.000 0.000 0.000
F1 0.000 0.500 0.000
# Space group: P4/mmm (123)
# Raw total energy, eV per atom: -5.923

No. 8
# FeHgF3 (PBE with a Hubbard U, relaxed)
data_FeHgF3
_symmetry_space_group_name_H-M 'P 1'
_symmetry_Int_Tables_number 1
_symmetry_space_group_name_Hall 'P 1'
_cell_length_a 4.544
_cell_length_b 4.544
_cell_length_c 4.544
_cell_angle_alpha 90.00
_cell_angle_beta 90.00
_cell_angle_gamma 90.00
loop_
_atom_site_label
_atom_site_fract_x
_atom_site_fract_y
_atom_site_fract_z
F1 0.000 0.500 0.000
F2 0.000 0.000 0.500
F3 0.500 0.000 0.000
Fe1 0.500 0.500 0.500
Hg1 0.000 0.000 0.000
# Space group: Pm-3m (221)
# Raw total energy, eV per atom: -3.155

No. 9
# FeHgF2 (PBE with a Hubbard U, relaxed)
data_FeHgF2
_symmetry_space_group_name_H-M 'P 1'
_symmetry_Int_Tables_number 1
_symmetry_space_group_name_Hall 'P 1'
_cell_length_a 8.989
_cell_length_b 8.989
_cell_length_c 8.989
_cell_angle_alpha 20.65
_cell_angle_beta 20.65
_cell_angle_gamma 20.65
loop_
_atom_site_label
_atom_site_fract_x
_atom_site_fract_y
_atom_site_fract_z
F1 0.872 0.872 0.872
F2 0.128 0.128 0.128
Hg1 0.000 0.000 0.000
Fe1 0.500 0.500 0.500
# Space group: R-3m (166)
# Raw total energy, eV per atom: -3.928

No. 10
# FeHgF2 (PBE with a Hubbard U, relaxed)
data_FeHgF2
_symmetry_space_group_name_H-M 'P 1'
_symmetry_Int_Tables_number 1
_symmetry_space_group_name_Hall 'P 1'
_cell_length_a 4.332
_cell_length_b 4.332
_cell_length_c 4.332
_cell_angle_alpha 60.00
_cell_angle_beta 60.00
_cell_angle_gamma 60.00
loop_
_atom_site_label
_atom_site_fract_x
_atom_site_fract_y
_atom_site_fract_z
F1 0.250 0.250 0.250
F2 0.750 0.750 0.750
Hg1 0.500 0.500 0.500
Fe1 0.000 0.000 0.000
# Space group: Fm-3m (225)
# Raw total energy, eV per atom: -3.270

No. 11
# Fe3HgF (PBE with a Hubbard U, relaxed)
data_Fe3HgF
_symmetry_space_group_name_H-M 'P 1'
_symmetry_Int_Tables_number 1
_symmetry_space_group_name_Hall 'P 1'
_cell_length_a 4.258
_cell_length_b 4.258
_cell_length_c 4.258
_cell_angle_alpha 90.00
_cell_angle_beta 90.00
_cell_angle_gamma 90.00
loop_
_atom_site_label
_atom_site_fract_x
_atom_site_fract_y
_atom_site_fract_z
F1 0.000 0.000 0.000
Hg1 0.500 0.500 0.500
Fe1 0.000 0.500 0.000
Fe2 0.000 0.000 0.500
Fe3 0.500 0.000 0.000
# Space group: Pm-3m (221)
# Raw total energy, eV per atom: -3.315

No. 12
# Fe3HgF (PBE with a Hubbard U, relaxed)
data_Fe3HgF
_symmetry_space_group_name_H-M 'P 1'
_symmetry_Int_Tables_number 1
_symmetry_space_group_name_Hall 'P 1'
_cell_length_a 5.140
_cell_length_b 5.140
_cell_length_c 5.140
_cell_angle_alpha 90.00
_cell_angle_beta 90.00
_cell_angle_gamma 90.00
loop_
_atom_site_label
_atom_site_fract_x
_atom_site_fract_y
_atom_site_fract_z
F1 0.500 0.500 0.500
Hg1 0.000 0.000 0.000
Fe1 0.000 0.500 0.000
Fe2 0.000 0.000 0.500
Fe3 0.500 0.000 0.000
# Space group: Pm-3m (221)
# Raw total energy, eV per atom: -2.990